YBe2AuF | PBE | relaxed

abc: 4.247 4.247 5.651
angles: 90.00 90.00 90.00
Atoms (fractional coordinates):
Y (0.000, 0.000, 0.000)
Be (0.000, 0.500, 0.500)
Be (0.500, 0.000, 0.500)
Au (0.000, 0.000, 0.500)
F (0.500, 0.500, 0.000)

Values from the calculation:
Magnetic moment ... 0.000 Bohr magnetons per cell
VASP energy ... -21.16 eV per cell
SG ... P4/mmm, No. 123